A geometry-optimized Tl2SbSe3 structure. Source: Alexandria, functional PBE.

## Properties
Relative energy among the computed polymorphs: 0 meV/atom
Symmetry: C2/m (12)
Crystal system: monoclinic

Unit cell a=7.2916 b=7.2916 c=7.9740 alpha=98.79 beta=98.79 gamma=119.97
Element x y z (fractional)
Se 0.2616 0.2592 0.7855
Se 0.5973 0.9306 0.7845
Se 0.7408 0.7384 0.2145
Se 0.9259 0.5950 0.7855
Se 0.4050 0.0741 0.2145
Se 0.0694 0.4027 0.2155
Sb 0.6662 0.3338 0.0000
Sb 0.0005 0.9995 0.0000
Tl 0.4997 0.5003 0.5000
Tl 0.1670 0.8330 0.5000
Tl 0.3333 0.6667 0.0000
Tl 0.8334 0.1666 0.5000